First-principles (PBE-GGA) data for a geometry-optimized La6PrZn structure, as listed in Alexandria.

```
data_La6PrZn
_chemical_formula_sum 'La6 Pr1 Zn1'
_cell_length_a 7.027
_cell_length_b 7.028
_cell_length_c 8.033
_cell_angle_alpha 89.92
_cell_angle_beta 64.18
_cell_angle_gamma 60.03
_space_group_name_H-M_alt 'P -1'
_space_group_IT_number 2
_space_group_name_Hall '-P 1'
loop_
_atom_site_label
_atom_site_fract_x
_atom_site_fract_y
_atom_site_fract_z
La1 0.017 0.438 0.242
La2 0.301 0.759 0.242
La3 0.303 0.955 0.757
Pr1 0.500 0.500 0.500
Zn1 0.500 0.000 0.000
```

## Properties
ΔE_f (eV per formula unit): 2.18
Volume (Å³/cell): 297.3